# 1
This record from Alexandria describes a geometry-optimized YRhI2O structure. The functional is PBE.

Output
M_tot: 0.130 μB/f.u.
DFT total energy: -24.05 eV per cell
Formation energy from raw total energies: -436 meV/atom
Polymorph energy (0 for the lowest one): 123 meV/atom
Density of states at the Fermi level: 3.75 states/eV per cell

CIF file:
```
data_YRhI2O
_chemical_formula_sum 'Y1 Rh1 I2 O1'
_space_group_name_H-M_alt 'P 4/m m m'
_space_group_IT_number 123
_space_group_name_Hall '-P 4 2'
_cell_length_a 5.695
_cell_length_b 5.695
_cell_length_c 3.798
_cell_angle_alpha 90.00
_cell_angle_beta 90.00
_cell_angle_gamma 90.00
loop_
_atom_site_label
_atom_site_fract_x
_atom_site_fract_y
_atom_site_fract_z
Y1 0.000 0.000 0.000
Rh1 0.500 0.500 0.500
I1 0.000 0.500 0.500
O1 0.500 0.500 0.000
```

# 2
This record from Alexandria describes a geometry-optimized Tb3Pm5Pr4 structure. The functional is PBE.

Output
Energy of formation from the pure elements: 0.20 eV per atom
M_tot: 0.003 μB/f.u.
DFT total energy: -108.61 eV per cell
Density of states at the Fermi level: 40.42 states/eV per cell

CIF file:
```
data_Tb3Pm5Pr4
_chemical_formula_sum 'Tb6 Pm10 Pr8'
_space_group_name_H-M_alt 'C 1 2/m 1'
_space_group_IT_number 12
_cell_length_a 16.434
_cell_length_b 6.037
_cell_length_c 9.491
_cell_angle_alpha 90.00
_cell_angle_beta 116.45
_cell_angle_gamma 90.00
loop_
_space_group_symop_operation_xyz
'x,y,z'
'-x,-y,-z'
'-x,y,-z'
'x,-y,z'
'x+1/2,y+1/2,z'
'-x+1/2,-y+1/2,-z'
'-x+1/2,y+1/2,-z'
'x+1/2,-y+1/2,z'
loop_
_atom_site_label
_atom_site_fract_x
_atom_site_fract_y
_atom_site_fract_z
Tb1 0.000 0.000 0.000
Tb2 0.209 0.500 0.228
Pm1 0.000 0.500 0.000
Pm2 0.074 0.000 0.701
Pm3 0.172 0.000 0.389
Pr1 0.083 0.500 0.442
Pr2 0.217 0.500 0.879
```

# 3
This record from Alexandria describes a geometry-optimized LiHo2AlO5 structure. The functional is PBE.

Output
M_tot: 0.000 μB/f.u.
DFT total energy: -130.88 eV per cell
Formation energy from raw total energies: -2871 meV/atom
Density of states at the Fermi level: 0.00 states/eV per cell

CIF file:
```
data_LiHo2AlO5
_chemical_formula_sum 'Li2 Ho4 Al2 O10'
_space_group_name_H-M_alt 'P 4/m b m'
_space_group_IT_number 127
_space_group_name_Hall '-P 4 2ab'
_cell_length_a 6.364
_cell_length_b 6.364
_cell_length_c 5.552
_cell_angle_alpha 90.00
_cell_angle_beta 90.00
_cell_angle_gamma 90.00
loop_
_atom_site_label
_atom_site_fract_x
_atom_site_fract_y
_atom_site_fract_z
Li1 0.000 0.000 0.000
Ho1 0.179 0.321 0.500
Al1 0.000 0.500 0.000
O1 0.000 0.000 0.500
O2 0.137 0.637 0.236
```

# 4
This record from Alexandria describes a geometry-optimized Cu2PPt structure. The functional is PBE.

Output
Energy of formation from the pure elements: -0.05 eV per atom
M_tot: 0.000 μB/f.u.
DFT total energy: -39.71 eV per cell
Polymorph energy (0 for the lowest one): 39 meV/atom
Density of states at the Fermi level: 2.48 states/eV per cell

CIF file:
```
data_Cu2PPt
_chemical_formula_sum 'Cu4 P2 Pt2'
_space_group_name_H-M_alt 'I 4/m m m'
_space_group_IT_number 139
_space_group_name_Hall '-I 4 2'
_cell_length_a 3.612
_cell_length_b 3.612
_cell_length_c 8.089
_cell_angle_alpha 90.00
_cell_angle_beta 90.00
_cell_angle_gamma 90.00
loop_
_atom_site_label
_atom_site_fract_x
_atom_site_fract_y
_atom_site_fract_z
Cu1 0.000 0.500 0.250
P1 0.000 0.000 0.000
Pt1 0.000 0.000 0.500
```